A:
Compound: Th3C2S
Source: Alexandria
Functional: PBE
Structure: relaxed

abc: 3.9508 6.7420 10.1727
angles: 90.00 90.00 107.04
Each line ends with the local moment (μB).
Element x y z (fractional)
Th  0.6265  0.2531  0.0654  0.10
Th  0.0741  0.1483  0.7500  0.06
Th  0.6265  0.2531  0.4346  0.10
Th  0.9259  0.8517  0.2500  0.06
Th  0.3735  0.7469  0.9346  0.10
Th  0.3735  0.7469  0.5654  0.10
C  0.0000  0.0000  0.0000  0.00
C  0.0000  0.0000  0.5000  0.00
C  0.5265  0.0530  0.2500  0.01
C  0.4735  0.9470  0.7500  0.01
S  0.2488  0.4975  0.2500  -0.01
S  0.7512  0.5025  0.7500  -0.01

Results
crystal system	orthorhombic
space group	Cmcm
N(E_F)	3.5	states/eV/f.u.

B:
Compound: Th3C2S
Source: Alexandria
Functional: PBE
Structure: relaxed

abc: 3.8301 5.5445 6.7867
angles: 114.11 106.39 90.00
Element x y z (fractional)
Th  0.8142  0.3142  0.1284
Th  0.1858  0.6858  0.8716
Th  0.5000  0.0000  0.5000
C  0.8334  0.8334  0.1669
C  0.1666  0.1666  0.8331
S  0.5000  0.5000  0.5000

Results
crystal system	orthorhombic
space group	Immm
N(E_F)	2.2	states/eV/f.u.

Which one is most stable, and which one is least stable? B is the most stable of them, while A is the least stable.

A:
Compound: Ti3CS
Source: Alexandria
Functional: PBE
Structure: relaxed

abc: 4.1509 4.1509 4.1509
angles: 90.00 90.00 90.00
Each line ends with the local moment (μB).
Element x y z (fractional)
S  0.5000  0.5000  0.5000  0.01
C  0.0000  0.0000  0.0000  0.00
Ti  0.0000  0.5000  0.0000  0.34
Ti  0.0000  0.0000  0.5000  0.43
Ti  0.5000  0.0000  0.0000  0.37

Results
crystal system	cubic
space group	Pm-3m
N(E_F)	7.5	states/eV/f.u.

B:
Compound: Ti3CS
Source: Alexandria
Functional: PBE
Structure: relaxed

abc: 3.2918 5.7033 7.6810
angles: 90.00 102.37 90.00
Element x y z (fractional)
Ti  0.9143  0.3686  0.8286
Ti  0.0857  0.8686  0.1714
Ti  0.5803  0.2760  0.1606
Ti  0.4197  0.7760  0.8394
Ti  0.7506  0.6636  0.5012
Ti  0.2494  0.1636  0.4988
C  0.3367  0.4871  0.6734
C  0.6633  0.9871  0.3266
S  0.8508  0.9988  0.7016
S  0.1492  0.4988  0.2984

Results
crystal system	orthorhombic
space group	Cmc2_1
N(E_F)	2.9	states/eV/f.u.

C:
Compound: Ti3CS
Source: Alexandria
Functional: PBE
Structure: relaxed

abc: 3.1921 5.3913 7.9116
angles: 90.00 90.00 107.22
Element x y z (fractional)
Ti  0.0648  0.1297  0.7500
Ti  0.9352  0.8703  0.2500
Ti  0.3680  0.7361  0.5591
Ti  0.6320  0.2639  0.4409
Ti  0.6320  0.2639  0.0591
Ti  0.3680  0.7361  0.9409
C  0.0000  0.0000  0.5000
C  0.0000  0.0000  0.0000
S  0.2571  0.5143  0.2500
S  0.7429  0.4857  0.7500

Results
crystal system	orthorhombic
space group	Cmcm
N(E_F)	2.0	states/eV/f.u.

Which one is most stable, and which one is least stable? C is the most stable of them, while A is the least stable.

A:
Compound: Ti2CS
Source: Alexandria
Functional: PBE
Structure: relaxed

abc: 5.1272 5.1272 6.1183
angles: 65.23 65.23 90.00
Element x y z (fractional)
S  0.0000  0.0000  0.0000
S  0.7500  0.2500  0.5000
C  0.5000  0.5000  0.0000
C  0.2500  0.7500  0.5000
Ti  0.5647  0.1250  0.2500
Ti  0.1853  0.6250  0.2500
Ti  0.3750  0.4353  0.7500
Ti  0.8750  0.8147  0.7500

Results
crystal system	tetragonal
space group	I-42d
N(E_F)	2.2	states/eV/f.u.

B:
Compound: Ti2CS
Source: Alexandria
Functional: PBE
Structure: relaxed

abc: 4.0927 4.0927 4.0927
angles: 60.00 60.00 60.00
Each line ends with the local moment (μB).
Element x y z (fractional)
S  0.5000  0.5000  0.5000  0.00
C  0.0000  0.0000  0.0000  0.01
Ti  0.2500  0.2500  0.2500  0.18
Ti  0.7500  0.7500  0.7500  0.18

Results
crystal system	cubic
space group	Fm-3m
N(E_F)	5.0	states/eV/f.u.

Which one is most stable, and which one is least stable? A is the most stable of them, while B is the least stable.

A:
Compound: Ti2CS
Source: Alexandria
Functional: PBE
Structure: relaxed

abc: 3.1816 3.1816 6.0001
angles: 74.63 74.63 60.00
Element x y z (fractional)
Ti  0.0656  0.0656  0.8033
Ti  0.2660  0.2660  0.2021
C  0.6690  0.6690  0.9929
S  0.4994  0.4994  0.5017

Results
crystal system	trigonal
space group	R3m
N(E_F)	0.4	states/eV/f.u.

B:
Compound: Ti2CS
Source: Alexandria
Functional: PBE
Structure: relaxed

abc: 3.2039 3.2039 11.2664
angles: 90.00 90.00 120.00
Element x y z (fractional)
Ti  0.3333  0.6667  0.4005
Ti  0.6667  0.3333  0.9005
Ti  0.6667  0.3333  0.5995
Ti  0.3333  0.6667  0.0995
C  0.0000  0.0000  0.5000
C  0.0000  0.0000  0.0000
S  0.6667  0.3333  0.2500
S  0.3333  0.6667  0.7500

Results
crystal system	hexagonal
space group	P6_3/mmc
N(E_F)	0.8	states/eV/f.u.

Which one is most stable, and which one is least stable? B is the most stable of them, while A is the least stable.

A:
Compound: TiCS3
Source: Alexandria
Functional: PBE
Structure: relaxed

abc: 4.0765 4.0765 4.0765
angles: 90.00 90.00 90.00
Element x y z (fractional)
S  0.0000  0.5000  0.0000
S  0.0000  0.0000  0.5000
S  0.5000  0.0000  0.0000
C  0.0000  0.0000  0.0000
Ti  0.5000  0.5000  0.5000

Results
crystal system	cubic
space group	Pm-3m
N(E_F)	2.2	states/eV/f.u.

B:
Compound: TiCS3
Source: Alexandria
Functional: PBE
Structure: relaxed

abc: 4.6752 4.6752 4.6752
angles: 90.00 90.00 90.00
Each line ends with the local moment (μB).
Element x y z (fractional)
S  0.0000  0.5000  0.0000  -0.25
S  0.0000  0.0000  0.5000  -0.30
S  0.5000  0.0000  0.0000  -0.21
C  0.5000  0.5000  0.5000  0.78
Ti  0.0000  0.0000  0.0000  0.17

Results
crystal system	cubic
space group	Pm-3m
N(E_F)	3.7	states/eV/f.u.

Which one is most stable, and which one is least stable? A is the most stable of them, while B is the least stable.

A:
Compound: TiC3S
Source: Alexandria
Functional: PBE
Structure: relaxed

abc: 4.1101 4.1101 4.1101
angles: 90.00 90.00 90.00
Element x y z (fractional)
S  0.5000  0.5000  0.5000
C  0.0000  0.5000  0.0000
C  0.0000  0.0000  0.5000
C  0.5000  0.0000  0.0000
Ti  0.0000  0.0000  0.0000

Results
crystal system	cubic
space group	Pm-3m
N(E_F)	3.4	states/eV/f.u.

B:
Compound: TiC3S
Source: Alexandria
Functional: PBE
Structure: relaxed

abc: 3.6034 3.6034 3.6034
angles: 90.00 90.00 90.00
Element x y z (fractional)
S  0.0000  0.0000  0.0000
C  0.0000  0.5000  0.0000
C  0.0000  0.0000  0.5000
C  0.5000  0.0000  0.0000
Ti  0.5000  0.5000  0.5000

Results
crystal system	cubic
space group	Pm-3m
N(E_F)	2.6	states/eV/f.u.

Which one is most stable, and which one is least stable? B is the most stable of them, while A is the least stable.

A:
Compound: TlCS2
Source: Alexandria
Functional: PBE
Structure: relaxed

abc: 4.6373 4.6373 4.6373
angles: 60.00 60.00 60.00
Element x y z (fractional)
C  0.0000  0.0000  0.0000
Tl  0.5000  0.5000  0.5000
S  0.2500  0.2500  0.2500
S  0.7500  0.7500  0.7500

Results
crystal system	cubic
space group	Fm-3m
N(E_F)	3.1	states/eV/f.u.

B:
Compound: TlCS2
Source: Alexandria
Functional: PBE
Structure: relaxed

abc: 8.7389 8.7389 8.7389
angles: 20.48 20.48 20.48
Element x y z (fractional)
C  0.5000  0.5000  0.5000
Tl  0.0000  0.0000  0.0000
S  0.8805  0.8805  0.8805
S  0.1195  0.1195  0.1195

Results
crystal system	trigonal
space group	R-3m
N(E_F)	1.9	states/eV/f.u.

C:
Compound: TlCS2
Source: Alexandria
Functional: PBE
Structure: relaxed

abc: 8.5122 8.5122 8.5122
angles: 26.25 26.25 26.25
Element x y z (fractional)
C  0.0000  0.0000  0.0000
Tl  0.5000  0.5000  0.5000
S  0.9364  0.9364  0.9364
S  0.0636  0.0636  0.0636

Results
crystal system	trigonal
space group	R-3m
N(E_F)	1.1	states/eV/f.u.

D:
Compound: TlCS2
Source: Alexandria
Functional: PBE
Structure: relaxed

abc: 6.3472 6.3472 6.0348
angles: 58.27 58.27 90.00
Element x y z (fractional)
C  0.5000  0.5000  0.0000
C  0.2500  0.7500  0.5000
Tl  0.0000  0.0000  0.0000
Tl  0.7500  0.2500  0.5000
S  0.4660  0.1250  0.2500
S  0.2840  0.6250  0.2500
S  0.3750  0.5340  0.7500
S  0.8750  0.7160  0.7500

Results
crystal system	tetragonal
space group	I-42d
N(E_F)	3.0	states/eV/f.u.

Which one is most stable, and which one is least stable? C is the most stable of them, while A is the least stable.

A:
Compound: V3CS3
Source: Alexandria
Functional: PBE
Structure: relaxed

abc: 3.1411 6.7228 9.2593
angles: 90.99 90.00 90.00
Element x y z (fractional)
V  0.2500  0.3103  0.6260
V  0.7500  0.6897  0.3740
V  0.2500  0.9094  0.6068
V  0.7500  0.0906  0.3932
V  0.2500  0.8722  0.1676
V  0.7500  0.1278  0.8324
C  0.2500  0.8871  0.3865
C  0.7500  0.1129  0.6135
S  0.2500  0.3813  0.3787
S  0.7500  0.6187  0.6213
S  0.2500  0.8768  0.8735
S  0.7500  0.1232  0.1265
S  0.2500  0.3771  0.8698
S  0.7500  0.6229  0.1302

Results
crystal system	monoclinic
space group	P2_1/m
N(E_F)	4.4	states/eV/f.u.

B:
Compound: V3CS3
Source: Alexandria
Functional: PBE
Structure: relaxed

abc: 4.7019 7.1547 7.1546
angles: 119.99 90.00 90.00
Element x y z (fractional)
V  0.7500  0.6465  0.8231
V  0.7500  0.1767  0.3535
V  0.7500  0.1767  0.8236
V  0.2500  0.3535  0.1769
V  0.2500  0.8233  0.6465
V  0.2500  0.8233  0.1764
C  0.7500  0.3332  0.6668
C  0.2500  0.6668  0.3332
S  0.2500  0.6100  0.8048
S  0.2500  0.1948  0.3899
S  0.2500  0.1950  0.8054
S  0.7500  0.3900  0.1952
S  0.7500  0.8052  0.6101
S  0.7500  0.8050  0.1946

Results
crystal system	hexagonal
space group	P6_3/mmc
N(E_F)	5.6	states/eV/f.u.

Which one is most stable, and which one is least stable? A is the most stable of them, while B is the least stable.